Entry from Alexandria via LeMat-Bulk: crystalline Cs2GaHgGe at its relaxed geometry (PBE-GGA).

The structure in extended XYZ format:
```
5
Lattice="7.256 0.000 0.000 0.000 7.256 0.000 0.000 0.000 5.084" Properties=species:S:1:pos:R:3 pbc="T T T"
Cs 0.000 3.628 0.000
Cs 3.628 0.000 0.000
Ga 0.000 0.000 2.542
Hg 3.628 3.628 2.542
Ge 3.628 3.628 0.000
```

Summary:
* crystal system: tetragonal
* space-group type: P4/mmm (123)
* formation energy from the elements: 0.308 eV/atom
* V: 267.6 Å³/f.u.

Entry from Alexandria via LeMat-Bulk: crystalline LiPN3 at its relaxed geometry (PBE-GGA).

The structure in extended XYZ format:
```
5
Lattice="3.442 0.000 0.000 0.000 3.442 0.000 0.000 0.000 3.442" Properties=species:S:1:pos:R:3 pbc="T T T"
Li 0.000 0.000 0.000
P 1.721 1.721 1.721
N 0.000 1.721 1.721
N 1.721 0.000 1.721
N 1.721 1.721 0.000
```

Summary:
* crystal system: cubic
* E_form (uncorrected): 0.667 eV/atom
* space-group type: Pm-3m (221)
* V: 40.8 Å³/f.u.

Entry from Alexandria via LeMat-Bulk: crystalline KCu2Hg2 at its relaxed geometry (PBE-GGA).

The structure in extended XYZ format:
```
10
Lattice="8.239 0.000 0.000 0.000 8.239 0.000 0.000 0.000 3.048" Properties=species:S:1:pos:R:3 pbc="T T T"
K 0.000 0.000 0.000
K 4.120 4.120 0.000
Cu 0.948 3.172 0.000
Cu 3.172 7.291 0.000
Cu 5.067 0.948 0.000
Cu 7.291 5.067 0.000
Hg 1.436 5.555 1.524
Hg 2.684 1.436 1.524
Hg 5.555 6.804 1.524
Hg 6.804 2.684 1.524
```

Summary:
* crystal system: tetragonal
* space-group type: P4/mbm (127)
* formation energy from the elements: 0.140 eV/atom
* polymorph energy (0 for the lowest one): 24 kJ/mol of formula units
* V: 103.5 Å³/f.u.

Entry from Alexandria via LeMat-Bulk: crystalline Nd2SmTh3 at its relaxed geometry (PBE-GGA).

The structure in extended XYZ format:
```
12
Lattice="5.169 -5.739 0.000 5.169 5.739 0.000 0.000 0.000 6.819" Properties=species:S:1:pos:R:3 pbc="T T T"
Nd 3.444 3.097 5.115
Nd 6.894 3.097 5.115
Nd 3.444 -3.097 1.705
Nd 6.894 -3.097 1.705
Sm 5.169 2.635 1.705
Sm 5.169 -2.635 5.115
Th 0.000 0.000 0.000
Th 0.000 0.000 3.410
Th 3.449 0.000 0.000
Th 3.449 0.000 3.410
Th 6.889 0.000 0.000
Th 6.889 0.000 3.410
```

Summary:
* crystal system: orthorhombic
* space-group type: Cmcm (63)
* formation energy from the elements: 0.199 eV/atom
* V: 202.3 Å³/f.u.

Entry from Alexandria via LeMat-Bulk: crystalline CePI at its relaxed geometry (PBE-GGA).

The structure in extended XYZ format:
```
6
Lattice="3.823 0.000 0.000 0.000 3.823 0.000 0.000 0.000 11.302" Properties=species:S:1:pos:R:3 pbc="T T T"
Ce 0.000 0.000 0.000
Ce 1.911 1.911 5.651
P 0.000 0.000 6.540
P 1.911 1.911 0.889
I 0.000 0.000 3.412
I 1.911 1.911 9.063
```

Summary:
* crystal system: tetragonal
* E_form (uncorrected): -0.886 eV/atom
* space-group type: I4mm (107)
* polymorph energy (0 for the lowest one): 97 kJ/mol of formula units
* V: 82.6 Å³/f.u.

Entry from Alexandria via LeMat-Bulk: crystalline Tl2InNiI at its relaxed geometry (PBE-GGA).

The structure in extended XYZ format:
```
5
Lattice="5.268 0.000 0.000 0.000 5.268 0.000 0.000 0.000 5.149" Properties=species:S:1:pos:R:3 pbc="T T T"
Tl 0.000 2.634 0.000
Tl 2.634 0.000 0.000
In 0.000 0.000 2.574
Ni 0.000 0.000 0.000
I 2.634 2.634 2.574
```

Summary:
* crystal system: tetragonal
* E_form (uncorrected): -0.181 eV/atom
* space-group type: P4/mmm (123)
* V: 142.9 Å³/f.u.

Entry from Alexandria via LeMat-Bulk: crystalline LaPr5Nd2Cd at its relaxed geometry (PBE-GGA).

The structure in extended XYZ format:
```
18
Lattice="2.842 -10.076 0.000 2.842 10.076 0.000 0.000 0.000 11.038" Properties=species:S:1:pos:R:3 pbc="T T T"
La 2.842 6.089 5.519
La 2.842 -6.089 0.000
Pr 2.842 9.800 5.513
Pr 2.842 4.218 8.829
Pr 2.842 4.200 2.205
Pr 2.842 2.383 5.514
Pr 2.842 0.004 2.747
Pr 2.842 -0.004 8.266
Pr 2.842 -2.383 11.033
Pr 2.842 -4.200 7.724
Pr 2.842 -4.218 3.310
Pr 2.842 -9.800 11.032
Nd 2.842 7.751 8.765
Nd 2.842 7.740 2.264
Nd 2.842 -7.740 7.783
Nd 2.842 -7.751 3.246
Cd 2.842 1.845 11.020
Cd 2.842 -1.845 5.501
```

Summary:
* crystal system: orthorhombic
* space-group type: Cmc2_1 (36)
* formation energy from the elements: 0.017 eV/atom
* V: 316.1 Å³/f.u.

Entry from Alexandria via LeMat-Bulk: crystalline La2PmGa4 at its relaxed geometry (PBE-GGA).

The structure in extended XYZ format:
```
14
Lattice="4.248 0.000 0.000 0.000 4.411 0.000 0.000 0.000 19.175" Properties=species:S:1:pos:R:3 pbc="T T T"
La 0.000 0.000 3.531
La 0.000 0.000 15.644
La 2.124 2.205 6.056
La 2.124 2.205 13.119
Pm 0.000 2.205 9.588
Pm 2.124 0.000 0.000
Ga 0.000 0.000 6.954
Ga 0.000 0.000 12.221
Ga 0.000 2.205 1.228
Ga 0.000 2.205 17.947
Ga 2.124 0.000 8.360
Ga 2.124 0.000 10.815
Ga 2.124 2.205 2.633
Ga 2.124 2.205 16.542
```

Summary:
* crystal system: orthorhombic
* space-group type: Immm (71)
* formation energy from the elements: -0.631 eV/atom
* V: 179.7 Å³/f.u.

Entry from Alexandria via LeMat-Bulk: crystalline MgSb2Pt at its relaxed geometry (PBE-GGA).

The structure in extended XYZ format:
```
4
Lattice="3.307 0.000 0.000 0.000 3.352 0.000 0.000 0.000 8.198" Properties=species:S:1:pos:R:3 pbc="T T T"
Mg 0.000 0.000 0.000
Sb 0.000 0.000 5.072
Sb 1.654 1.676 2.026
Pt 1.654 1.676 6.636
```

Summary:
* crystal system: orthorhombic
* E_form (uncorrected): -0.308 eV/atom
* space-group type: Pmm2 (25)
* V: 90.9 Å³/f.u.

Entry from Alexandria via LeMat-Bulk: crystalline NaSr3Ir at its relaxed geometry (PBE-GGA).

The structure in extended XYZ format:
```
10
Lattice="7.490 0.000 0.000 0.000 6.481 0.000 -0.002 0.000 8.609" Properties=species:S:1:pos:R:3 pbc="T T T"
Na 0.000 0.000 0.000
Na 2.265 3.240 8.603
Sr 2.208 3.240 4.302
Sr 3.636 0.000 2.242
Sr 3.634 0.000 6.366
Sr 6.063 3.240 2.025
Sr 6.063 3.240 6.584
Sr 7.098 0.000 4.306
Ir 4.791 1.882 4.304
Ir 4.791 4.599 4.304
```

Summary:
* crystal system: monoclinic
* space-group type: Pm (6)
* formation energy from the elements: -0.109 eV/atom
* polymorph energy (0 for the lowest one): 7 kJ/mol of formula units
* V: 208.9 Å³/f.u.

Entry from Alexandria via LeMat-Bulk: crystalline Mg3ScTe at its relaxed geometry (PBE-GGA).

The structure in extended XYZ format:
```
5
Lattice="5.402 0.000 0.000 0.000 5.402 0.000 0.000 0.000 5.402" Properties=species:S:1:pos:R:3 pbc="T T T"
Mg 0.000 0.000 2.701
Mg 0.000 2.701 0.000
Mg 2.701 0.000 0.000
Sc 2.701 2.701 2.701
Te 0.000 0.000 0.000
```

Summary:
* crystal system: cubic
* E_form (uncorrected): 0.466 eV/atom
* space-group type: Pm-3m (221)
* polymorph energy (0 for the lowest one): 0 kJ/mol of formula units
* V: 157.7 Å³/f.u.

Entry from Alexandria via LeMat-Bulk: crystalline Tl2B2TeS6 at its relaxed geometry (PBE-GGA).

The structure in extended XYZ format:
```
11
Lattice="6.215 -3.226 0.000 6.215 3.226 0.000 -2.597 0.000 6.941" Properties=species:S:1:pos:R:3 pbc="T T T"
Tl 1.833 0.000 2.075
Tl 8.000 0.000 4.866
B 5.380 0.000 1.856
B 4.452 0.000 5.085
Te -1.299 0.000 3.471
S 4.385 1.511 1.566
S 2.679 0.000 4.884
S 5.447 1.511 5.375
S 4.385 -1.511 1.566
S 7.153 0.000 2.057
S 5.447 -1.511 5.375
```

Summary:
* crystal system: monoclinic
* E_form (uncorrected): -0.204 eV/atom
* space-group type: C2/m (12)
* V: 278.3 Å³/f.u.